# ZrHg2Bi

A geometry-optimized ZrHg2Bi structure (PBE-GGA, the Alexandria database).

abc: 4.806 4.806 6.130
angles: 66.92 66.92 60.00
Fractional positions:
Zr: 0.681 0.681 0.958
Hg: 0.270 0.270 0.191
Hg: 0.061 0.061 0.817
Bi: 0.489 0.489 0.534

Values from the calculation:
Calculated total energy in Ha/atom: -0.1160
SG: R3m, No. 160


# Ca2Mg2Ge

A geometry-optimized Ca2Mg2Ge structure (PBE-GGA, the Alexandria database).

abc: 7.302 7.302 5.168
angles: 90.00 90.00 90.00
Fractional positions:
Mg: 0.362 0.862 0.000
Ge: 0.000 0.000 0.000
Mg: 0.138 0.362 0.000
Mg: 0.862 0.638 0.000
Mg: 0.638 0.138 0.000
Ca: 0.676 0.824 0.500
Ge: 0.500 0.500 0.000
Ca: 0.176 0.676 0.500
Ca: 0.824 0.324 0.500
Ca: 0.324 0.176 0.500

Values from the calculation:
Calculated total energy in Ha/atom: -0.0920
SG: P4/mbm, No. 127


# CdTe2Mo

A geometry-optimized CdTe2Mo structure (PBE-GGA, the Alexandria database).

abc: 5.990 4.203 4.203
angles: 90.01 90.00 90.00
Fractional positions:
Te: 0.500 0.373 0.373
Cd: 0.000 0.377 0.377
Te: 0.000 0.876 0.877
Mo: 0.500 0.873 0.873

Values from the calculation:
Formation energy from raw total energies in eV per atom: 0.2722
Calculated total energy in Ha/atom: -0.1556
SG: Amm2, No. 38


# MgNiMo

A geometry-optimized MgNiMo structure (PBE-GGA, the Alexandria database).

abc: 4.012 4.002 6.007
angles: 109.44 90.00 90.00
Fractional positions:
Ni: 0.035 0.191 0.049
Ni: 0.035 0.549 0.765
Mg: 0.535 0.370 0.407
Mg: 0.035 0.870 0.407
Mo: 0.535 0.686 0.039
Mo: 0.535 0.054 0.774

Values from the calculation:
Relative energy among the computed polymorphs in eV/atom: 0.1196
Calculated total energy in Ha/atom: -0.2183
SG: Cmmm, No. 65


# HfPSe2N

A geometry-optimized HfPSe2N structure (PBE-GGA, the Alexandria database).

abc: 5.269 5.269 3.948
angles: 90.00 90.00 90.00
Fractional positions:
Hf: 0.000 0.000 0.000
N: 0.000 0.000 0.500
Se: 0.500 0.000 0.000
P: 0.500 0.500 0.500
Se: 0.000 0.500 0.000

Values from the calculation:
Relative energy among the computed polymorphs in eV/atom: 0.1152
Formation energy from raw total energies in eV per atom: 0.3371
Calculated total energy in Ha/atom: -0.2129
SG: P4/mmm, No. 123


# Er2GaSiNi6

A geometry-optimized Er2GaSiNi6 structure (PBE-GGA, the Alexandria database).

abc: 6.052 6.219 6.217
angles: 46.56 80.54 98.94
Fractional positions:
Er: 0.214 0.750 0.535
Ni: 0.754 0.746 0.493
Ni: 0.585 0.750 0.167
Ga: 0.500 0.500 0.000
Ni: 0.754 0.246 0.993
Ni: 0.246 0.754 0.007
Ni: 0.415 0.250 0.833
Si: 0.000 0.000 0.000
Er: 0.786 0.250 0.465
Ni: 0.246 0.254 0.507

Values from the calculation:
Formation energy from raw total energies in eV per atom: -0.4581
Calculated total energy in Ha/atom: -0.2089
SG: P-1, No. 2


# PmNpSnSb

A geometry-optimized PmNpSnSb structure (PBE-GGA, the Alexandria database).

abc: 5.384 5.384 5.384
angles: 60.00 60.00 60.00
Fractional positions:
Np: 0.000 0.000 0.000
Sb: 0.750 0.750 0.750
Pm: 0.500 0.500 0.500
Sn: 0.250 0.250 0.250

Values from the calculation:
Formation energy from raw total energies in eV per atom: -0.2983
Calculated total energy in Ha/atom: -0.2481
SG: F-43m, No. 216


# LiHf2BeSn

A geometry-optimized LiHf2BeSn structure (PBE-GGA, the Alexandria database).

abc: 4.705 4.357 4.705
angles: 90.00 90.00 90.00
Fractional positions:
Hf: 0.000 0.000 0.500
Li: 0.000 0.500 0.000
Hf: 0.500 0.000 0.000
Be: 0.000 0.000 0.000
Sn: 0.500 0.500 0.500

Values from the calculation:
Calculated total energy in Ha/atom: -0.2129
SG: P4/mmm, No. 123


Calculated DOS at the Fermi energy in order - 3.22 6.09 1.39 5.92 4.86 5.64 12.18 1.98 states/eV per cell